Model i:
{"formula": "BeSiAs", "functional": "GGA-PBE", "state": "optimized geometry", "rho_g_cm3": 4.05, "spacegroup": "No. 42", "m_tot_mub_per_cell": 0.00, "lattice": [[5.944, 0.005, -0.005], [5.126, 2.790, 0.015], [0.818, -0.238, 2.774]], "species": ["Be", "As", "Si"], "frac_coords": [[0.331, 0.331, 0.669], [0.963, 0.963, 0.037], [0.706, 0.706, 0.294]]}


Model ii:
{"formula": "BeSiAs", "functional": "GGA-PBE", "state": "optimized geometry", "rho_g_cm3": 3.95, "spacegroup": "No. 216", "m_tot_mub_per_cell": 0.00, "lattice": [[-3.112, -2.223, -1.346], [-0.383, -3.865, 1.164], [-2.976, -1.067, 2.538]], "species": ["Be", "As", "Si"], "frac_coords": [[0.750, 0.750, 0.750], [0.500, 0.500, 0.500], [0.000, 0.000, 0.000]]}


Model iii:
{"formula": "BeSiAs", "functional": "GGA-PBE", "state": "optimized geometry", "rho_g_cm3": 3.48, "spacegroup": "No. 12", "m_tot_mub_per_cell": 0.00, "lattice": [[-1.042, 2.010, 3.118], [-3.442, 1.730, 0.089], [-0.256, -9.417, 1.073]], "species": ["Si", "Be", "Si", "As", "Be", "As"], "frac_coords": [[0.865, 0.865, 0.547], [0.184, 0.184, 0.115], [0.135, 0.135, 0.453], [0.880, 0.880, 0.168], [0.816, 0.816, 0.885], [0.120, 0.120, 0.832]]}


Model iv:
{"formula": "BeSiAs", "functional": "GGA-PBE", "state": "optimized geometry", "rho_g_cm3": 4.12, "spacegroup": "No. 156", "m_tot_mub_per_cell": 0.00, "lattice": [[-2.465, -2.233, 1.102], [3.290, -0.307, 1.165], [-0.904, 2.594, 3.234]], "species": ["As", "Be", "Si"], "frac_coords": [[0.000, 0.000, 0.047], [0.333, 0.667, 0.320], [0.667, 0.333, 0.632]]}


Quick ranking, most stable first: model iii, model iv, model ii, model i.


Model i:
{"formula": "BeSiAs", "functional": "GGA-PBE", "state": "optimized geometry", "rho_g_cm3": 4.18, "spacegroup": "No. 107", "m_tot_mub_per_cell": 0.00, "lattice": [[6.258, 0.175, 0.000], [4.960, 3.819, 0.000], [-5.609, -1.997, 1.934]], "species": ["Si", "As", "Be"], "frac_coords": [[0.698, 0.698, 0.000], [0.974, 0.974, 0.000], [0.328, 0.328, 0.000]]}


Model ii:
{"formula": "BeSiAs", "functional": "GGA-PBE", "state": "optimized geometry", "rho_g_cm3": 3.93, "spacegroup": "No. 156", "m_tot_mub_per_cell": 0.00, "lattice": [[-2.356, -1.481, 0.110], [2.446, -1.295, -0.308], [0.628, -0.479, 6.993]], "species": ["Si", "As", "Be"], "frac_coords": [[0.333, 0.667, 0.599], [0.000, 0.000, 0.067], [0.667, 0.333, 0.333]]}


Quick ranking, most stable first: model i, model ii.


Model i:
{"formula": "BeSiAs3", "functional": "GGA-PBE", "state": "optimized geometry", "rho_g_cm3": 4.08, "spacegroup": "No. 221", "m_tot_mub_per_cell": 0.00, "lattice": [[4.740, 0.000, 0.000], [0.000, 4.740, 0.000], [0.000, 0.000, 4.740]], "species": ["Si", "As", "As", "As", "Be"], "frac_coords": [[0.000, 0.000, 0.000], [0.000, 0.000, 0.500], [0.500, 0.000, 0.000], [0.000, 0.500, 0.000], [0.500, 0.500, 0.500]]}


Model ii:
{"formula": "BeSiAs3", "functional": "GGA-PBE", "state": "optimized geometry", "rho_g_cm3": 4.79, "spacegroup": "No. 221", "m_tot_mub_per_cell": 0.00, "lattice": [[-4.266, 1.208, -0.729], [-1.255, -4.309, 0.208], [-0.643, 0.401, 4.429]], "species": ["As", "As", "As", "Si", "Be"], "frac_coords": [[0.500, 0.000, 0.000], [0.000, 0.500, 0.000], [0.000, 0.000, 0.500], [0.500, 0.500, 0.500], [0.000, 0.000, 0.000]]}


Quick ranking, most stable first: model ii, model i.


Model i:
{"formula": "SmBeAs2", "functional": "GGA-PBE", "state": "optimized geometry", "rho_g_cm3": 6.72, "spacegroup": "No. 139", "m_tot_mub_per_cell": 0.00, "lattice": [[-1.876, 3.486, -0.154], [-3.272, -1.698, 1.451], [5.552, 1.110, 8.410]], "species": ["As", "Be", "Sm", "As", "As", "Sm", "As", "Be"], "frac_coords": [[0.500, 0.999, 0.000], [0.750, 0.250, 0.500], [0.885, 0.885, 0.769], [0.999, 0.500, 0.000], [0.684, 0.684, 0.368], [0.115, 0.115, 0.231], [0.316, 0.316, 0.632], [0.250, 0.750, 0.500]]}


Model ii:
{"formula": "SmBeAs2", "functional": "GGA-PBE", "state": "optimized geometry", "rho_g_cm3": 4.37, "spacegroup": "No. 166", "m_tot_mub_per_cell": 0.00, "lattice": [[4.263, 0.000, 0.000], [2.132, 3.692, 0.000], [2.132, 1.231, 7.459]], "species": ["Sm", "As", "As", "Be"], "frac_coords": [[0.500, 0.500, 0.500], [0.907, 0.907, 0.279], [0.093, 0.093, 0.721], [0.000, 0.000, 0.000]]}


Model iii:
{"formula": "SmBeAs2", "functional": "GGA-PBE", "state": "optimized geometry", "rho_g_cm3": 6.73, "spacegroup": "No. 129", "m_tot_mub_per_cell": 0.00, "lattice": [[-1.566, 3.351, 1.354], [-3.298, -0.721, -2.029], [-3.692, -4.844, 7.722]], "species": ["As", "Be", "Be", "As", "As", "Sm", "Sm", "As"], "frac_coords": [[0.000, 0.000, 0.500], [0.500, 0.500, 0.000], [0.000, 0.000, 0.000], [0.500, 0.500, 0.500], [0.500, 0.000, 0.132], [0.000, 0.500, 0.268], [0.500, 0.000, 0.732], [0.000, 0.500, 0.868]]}


Quick ranking, most stable first: model iii, model i, model ii.


Model i:
{"formula": "BeSn2As", "functional": "GGA-PBE", "state": "optimized geometry", "rho_g_cm3": 6.25, "spacegroup": "No. 225", "m_tot_mub_per_cell": 0.00, "lattice": [[-2.444, -3.043, 3.031], [-2.945, 1.850, 3.511], [-4.904, -0.465, -0.392]], "species": ["As", "Be", "Sn", "Sn"], "frac_coords": [[0.500, 0.500, 0.500], [0.000, 0.000, 0.000], [0.250, 0.250, 0.250], [0.750, 0.750, 0.750]]}


Model ii:
{"formula": "BeSn2As", "functional": "GGA-PBE", "state": "optimized geometry", "rho_g_cm3": 5.09, "spacegroup": "No. 122", "m_tot_mub_per_cell": 0.00, "lattice": [[-4.688, -0.339, -3.704], [-3.218, -2.618, 4.313], [-5.778, 3.779, 2.134]], "species": ["Sn", "Sn", "Sn", "As", "Be", "Sn", "As", "Be"], "frac_coords": [[0.163, 0.625, 0.250], [0.875, 0.837, 0.750], [0.375, 0.413, 0.750], [0.750, 0.250, 0.500], [0.500, 0.500, 0.000], [0.587, 0.125, 0.250], [0.000, 0.000, 0.000], [0.250, 0.750, 0.500]]}


Quick ranking, most stable first: model ii, model i.


Model i:
{"formula": "Be2SnAs", "functional": "GGA-PBE", "state": "optimized geometry", "rho_g_cm3": 5.45, "spacegroup": "No. 225", "m_tot_mub_per_cell": 0.00, "lattice": [[2.167, -2.928, 2.644], [-2.323, -3.054, 2.353], [0.197, -4.349, -1.145]], "species": ["As", "Be", "Be", "Sn"], "frac_coords": [[0.000, 0.000, 0.000], [0.250, 0.250, 0.250], [0.750, 0.750, 0.750], [0.500, 0.500, 0.500]]}


Model ii:
{"formula": "Be2SnAs", "functional": "GGA-PBE", "state": "optimized geometry", "rho_g_cm3": 4.43, "spacegroup": "No. 122", "m_tot_mub_per_cell": 0.00, "lattice": [[-4.287, -1.497, -3.715], [-1.539, -4.409, 3.552], [-5.818, -0.148, 2.141]], "species": ["Be", "As", "Be", "Sn", "Sn", "Be", "As", "Be"], "frac_coords": [[0.875, 0.819, 0.750], [0.250, 0.750, 0.500], [0.181, 0.625, 0.250], [0.750, 0.250, 0.500], [0.000, 0.000, 0.000], [0.375, 0.431, 0.750], [0.500, 0.500, 0.000], [0.569, 0.125, 0.250]]}


Quick ranking, most stable first: model ii, model i.


Model i:
{"formula": "Sr2BeAs", "functional": "GGA-PBE", "state": "optimized geometry", "rho_g_cm3": 3.36, "spacegroup": "No. 35", "m_tot_mub_per_cell": 0.00, "lattice": [[-1.242, -0.257, -3.732], [2.283, -2.935, 1.310], [-7.497, -4.579, 2.810]], "species": ["As", "Sr", "Be", "Sr"], "frac_coords": [[0.000, 0.000, 0.572], [0.000, 0.000, 0.923], [0.500, 0.500, 0.674], [0.500, 0.500, 0.332]]}


Model ii:
{"formula": "Sr2BeAs", "functional": "GGA-PBE", "state": "optimized geometry", "rho_g_cm3": 3.98, "spacegroup": "No. 123", "m_tot_mub_per_cell": 0.00, "lattice": [[8.343, 0.005, 0.009], [-3.163, 4.042, -0.003], [2.016, 1.578, 3.208]], "species": ["Be", "Sr", "Sr", "As"], "frac_coords": [[0.500, 0.500, 0.000], [0.500, 0.000, 0.500], [0.000, 0.000, 0.000], [0.000, 0.500, 0.500]]}


Quick ranking, most stable first: model ii, model i.


Model i:
{"formula": "Sr2BeAs", "functional": "GGA-PBE", "state": "optimized geometry", "rho_g_cm3": 3.38, "spacegroup": "No. 44", "m_tot_mub_per_cell": 0.00, "lattice": [[-8.006, -1.281, 0.172], [-5.257, -5.652, -2.488], [6.781, 2.295, 3.811]], "species": ["Sr", "As", "Sr", "Be"], "frac_coords": [[0.750, 0.250, 0.500], [0.413, 0.413, 0.000], [0.998, 0.998, 0.000], [0.339, 0.839, 0.500]]}


Model ii:
{"formula": "Sr2BeAs", "functional": "GGA-PBE", "state": "optimized geometry", "rho_g_cm3": 3.94, "spacegroup": "No. 225", "m_tot_mub_per_cell": 0.00, "lattice": [[0.000, 3.796, 3.796], [3.796, 0.000, 3.796], [3.796, 3.796, 0.000]], "species": ["Sr", "Sr", "As", "Be"], "frac_coords": [[0.250, 0.250, 0.250], [0.750, 0.750, 0.750], [0.500, 0.500, 0.500], [0.000, 0.000, 0.000]]}


Quick ranking, most stable first: model i, model ii.


Model i:
{"formula": "Sr2BeAs", "functional": "GGA-PBE", "state": "optimized geometry", "rho_g_cm3": 3.31, "spacegroup": "No. 12", "m_tot_mub_per_cell": 0.00, "lattice": [[-3.301, -0.258, -3.367], [-4.024, -2.329, 0.826], [-5.264, 4.791, 1.461]], "species": ["Sr", "Be", "Sr", "As"], "frac_coords": [[0.007, 0.007, 0.978], [0.250, 0.250, 0.250], [0.493, 0.493, 0.522], [0.750, 0.750, 0.750]]}


Model ii:
{"formula": "Sr2BeAs", "functional": "GGA-PBE", "state": "optimized geometry", "rho_g_cm3": 3.87, "spacegroup": "No. 38", "m_tot_mub_per_cell": 0.00, "lattice": [[6.387, -0.023, -0.007], [4.769, 4.248, -0.007], [0.005, 0.002, 4.078]], "species": ["Sr", "Sr", "Be", "As"], "frac_coords": [[0.014, 0.014, 0.125], [0.734, 0.734, 0.625], [0.321, 0.321, 0.125], [0.432, 0.432, 0.625]]}


Quick ranking, most stable first: model ii, model i.


Model i:
{"formula": "Sr2BeAs", "functional": "GGA-PBE", "state": "optimized geometry", "rho_g_cm3": 3.33, "spacegroup": "No. 99", "m_tot_mub_per_cell": 0.71, "lattice": [[-4.208, 1.318, 1.011], [-1.362, -1.160, -4.155], [-1.330, -5.828, 2.064]], "species": ["As", "Sr", "Be", "Sr"], "frac_coords": [[0.000, 0.000, 0.377], [0.000, 0.000, 0.876], [0.500, 0.500, 0.873], [0.500, 0.500, 0.374]]}


Model ii:
{"formula": "Sr2BeAs", "functional": "GGA-PBE", "state": "optimized geometry", "rho_g_cm3": 3.89, "spacegroup": "No. 216", "m_tot_mub_per_cell": 0.00, "lattice": [[-3.659, -2.505, -3.058], [0.340, -5.317, -0.795], [-3.604, -3.298, 2.270]], "species": ["Sr", "Be", "As", "Sr"], "frac_coords": [[0.250, 0.250, 0.250], [0.750, 0.750, 0.750], [0.500, 0.500, 0.500], [0.000, 0.000, 0.000]]}


Quick ranking, most stable first: model i, model ii.


Model i:
{"formula": "Sr2BeAs", "functional": "GGA-PBE", "state": "optimized geometry", "rho_g_cm3": 2.75, "spacegroup": "No. 122", "m_tot_mub_per_cell": 1.88, "lattice": [[-4.201, 1.414, 3.925], [-2.432, -5.355, -0.675], [1.795, -5.126, 8.233]], "species": ["As", "Be", "As", "Sr", "Be", "Sr", "Sr", "Sr"], "frac_coords": [[0.000, 0.000, 0.000], [0.250, 0.750, 0.500], [0.750, 0.250, 0.500], [0.635, 0.125, 0.250], [0.500, 0.500, 0.000], [0.375, 0.365, 0.750], [0.115, 0.625, 0.250], [0.875, 0.885, 0.750]]}


Model ii:
{"formula": "Sr2BeAs", "functional": "GGA-PBE", "state": "optimized geometry", "rho_g_cm3": 3.84, "spacegroup": "No. 119", "m_tot_mub_per_cell": 0.00, "lattice": [[-2.342, 2.055, 5.639], [-1.991, -4.149, 4.509], [5.075, 0.988, -3.845]], "species": ["As", "Be", "Sr", "Sr"], "frac_coords": [[0.500, 0.500, 0.000], [0.750, 0.250, 0.500], [0.250, 0.750, 0.500], [0.000, 0.000, 0.000]]}


Model iii:
{"formula": "Sr2BeAs", "functional": "GGA-PBE", "state": "optimized geometry", "rho_g_cm3": 3.71, "spacegroup": "No. 99", "m_tot_mub_per_cell": 0.00, "lattice": [[-0.541, 3.453, 0.955], [-3.484, -0.282, -0.954], [-2.034, -2.586, 8.196]], "species": ["As", "Sr", "Be", "Sr"], "frac_coords": [[0.000, 0.000, 0.573], [0.500, 0.500, 0.335], [0.500, 0.500, 0.674], [0.000, 0.000, 0.917]]}


Quick ranking, most stable first: model ii, model iii, model i.


Model i:
{"formula": "SrBe3As", "functional": "GGA-PBE", "state": "optimized geometry", "rho_g_cm3": 3.29, "spacegroup": "No. 221", "m_tot_mub_per_cell": 0.00, "lattice": [[-4.044, 2.088, 0.461], [-0.733, -2.281, 3.897], [2.009, 3.372, 2.351]], "species": ["Be", "Be", "As", "Be", "Sr"], "frac_coords": [[0.500, 0.000, 0.000], [0.000, 0.000, 0.500], [0.000, 0.000, 0.000], [0.000, 0.500, 0.000], [0.500, 0.500, 0.500]]}


Model ii:
{"formula": "SrBe3As", "functional": "GGA-PBE", "state": "optimized geometry", "rho_g_cm3": 2.25, "spacegroup": "No. 221", "m_tot_mub_per_cell": 0.00, "lattice": [[-1.274, -0.289, 5.025], [-3.140, -4.006, -1.026], [3.934, -3.290, 0.809]], "species": ["Be", "Be", "As", "Sr", "Be"], "frac_coords": [[0.000, 0.000, 0.500], [0.000, 0.500, 0.000], [0.500, 0.500, 0.500], [0.000, 0.000, 0.000], [0.500, 0.000, 0.000]]}


Quick ranking, most stable first: model i, model ii.